<i>
Density functional theory data (PBE) for a relaxed Pm3PrTl2 crystal.

abc: 5.265 10.328 6.923
angles: 90.00 90.00 90.00
Sites, in units of the cell vectors:
Pm 0.000 0.044 0.000
Pm 0.000 0.314 0.369
Pm 0.000 0.686 0.869
Pm 0.000 0.956 0.500
Pm 0.500 0.183 0.726
Pm 0.500 0.817 0.226
Pr 0.500 0.456 0.099
Pr 0.500 0.544 0.599
Tl 0.000 0.363 0.838
Tl 0.000 0.637 0.338
Tl 0.500 0.134 0.257
Tl 0.500 0.866 0.757

Computed properties:
Its space group is Pmc2_1.


<ii>
Density functional theory data (PBE) for a relaxed Pm3PrTl2 crystal.

abc: 8.906 8.906 9.484
angles: 118.11 118.11 35.92
Sites, in units of the cell vectors:
Pm 0.059 0.059 0.214
Pm 0.305 0.305 0.501
Pm 0.382 0.382 0.955
Pm 0.618 0.618 0.045
Pm 0.695 0.695 0.499
Pm 0.941 0.941 0.786
Pr 0.129 0.129 0.674
Pr 0.871 0.871 0.326
Tl 0.226 0.226 0.092
Tl 0.483 0.483 0.330
Tl 0.517 0.517 0.670
Tl 0.774 0.774 0.908

Computed properties:
Its space group is C2/m.


What should be chosen as the least stable of them? Choose <ii>.


<i>
Density functional theory data (PBE) for a relaxed Pm3PrTl4 crystal.

abc: 3.631 7.394 18.927
angles: 90.00 90.00 90.00
Sites, in units of the cell vectors:
Pm 0.000 0.000 0.000
Pm 0.000 0.500 0.218
Pm 0.000 0.500 0.782
Pm 0.500 0.000 0.282
Pm 0.500 0.000 0.718
Pm 0.500 0.500 0.500
Pr 0.000 0.000 0.500
Pr 0.500 0.500 0.000
Tl 0.000 0.289 0.372
Tl 0.000 0.289 0.628
Tl 0.000 0.711 0.372
Tl 0.000 0.711 0.628
Tl 0.500 0.211 0.128
Tl 0.500 0.211 0.872
Tl 0.500 0.789 0.128
Tl 0.500 0.789 0.872

Computed properties:
Its space group is Immm.


<ii>
Density functional theory data (PBE) for a relaxed Pm3PrTl4 crystal.

abc: 3.894 3.894 15.586
angles: 90.00 90.00 90.00
Sites, in units of the cell vectors:
Pm 0.000 0.000 0.000
Pm 0.000 0.000 0.248
Pm 0.000 0.000 0.752
Pr 0.000 0.000 0.500
Tl 0.500 0.500 0.124
Tl 0.500 0.500 0.371
Tl 0.500 0.500 0.629
Tl 0.500 0.500 0.876

Computed properties:
Its space group is P4/mmm.


What should be chosen as the least stable of them? Choose <i>.


<i>
Density functional theory data (PBE) for a relaxed Pm8PrTl2 crystal.

abc: 9.365 9.365 6.241
angles: 102.14 102.14 42.44
Sites, in units of the cell vectors:
Pm 0.004 0.004 0.243
Pm 0.065 0.586 0.382
Pm 0.369 0.369 0.919
Pm 0.414 0.935 0.618
Pm 0.586 0.065 0.382
Pm 0.631 0.631 0.081
Pm 0.935 0.414 0.618
Pm 0.996 0.996 0.757
Pr 0.500 0.500 0.500
Tl 0.177 0.177 0.105
Tl 0.823 0.823 0.895

Computed properties:
Its space group is C2/m.


<ii>
Density functional theory data (PBE) for a relaxed Pm8PrTl2 crystal.

abc: 9.161 9.161 8.414
angles: 110.66 110.66 33.31
Sites, in units of the cell vectors:
Pm 0.052 0.052 0.237
Pm 0.147 0.147 0.708
Pm 0.314 0.314 0.551
Pm 0.399 0.399 0.034
Pm 0.601 0.601 0.966
Pm 0.686 0.686 0.449
Pm 0.853 0.853 0.292
Pm 0.948 0.948 0.763
Pr 0.500 0.500 0.500
Tl 0.222 0.222 0.141
Tl 0.778 0.778 0.859

Computed properties:
Its space group is C2/m.


What should be chosen as the least stable of them? Choose <i>.


<i>
Density functional theory data (PBE) for a relaxed Pm4Pr5Tl crystal.

abc: 8.219 8.219 8.219
angles: 98.08 98.08 135.98
Sites, in units of the cell vectors:
Pm 0.000 0.315 0.315
Pm 0.000 0.685 0.685
Pm 0.315 0.000 0.315
Pm 0.685 0.000 0.685
Pr 0.202 0.202 0.000
Pr 0.300 0.300 0.624
Pr 0.300 0.675 0.000
Pr 0.675 0.300 0.000
Pr 0.675 0.675 0.376
Tl 0.725 0.725 0.000

Computed properties:
Its space group is I4mm.


<ii>
Density functional theory data (PBE) for a relaxed Pm4Pr5Tl crystal.

abc: 4.299 4.299 18.430
angles: 90.00 90.00 90.00
Sites, in units of the cell vectors:
Pm 0.000 0.000 0.102
Pm 0.000 0.000 0.304
Pm 0.000 0.000 0.696
Pm 0.000 0.000 0.898
Pr 0.500 0.500 0.000
Pr 0.500 0.500 0.205
Pr 0.500 0.500 0.411
Pr 0.500 0.500 0.589
Pr 0.500 0.500 0.795
Tl 0.000 0.000 0.500

Computed properties:
Its space group is P4/mmm.


What should be chosen as the least stable of them? Choose <i>.


<i>
Density functional theory data (PBE) for a relaxed PmPrYTl crystal.

abc: 4.891 4.910 5.072
angles: 90.00 90.00 90.00
Sites, in units of the cell vectors:
Pm 0.000 0.000 0.000
Pr 0.500 0.500 0.000
Y 0.000 0.500 0.500
Tl 0.500 0.000 0.500

Computed properties:
Its space group is Pmmm.


<ii>
Density functional theory data (PBE) for a relaxed PmPrYTl crystal.

abc: 7.927 7.927 7.927
angles: 90.00 90.00 90.00
Sites, in units of the cell vectors:
Pm 0.000 0.000 0.000
Pm 0.000 0.500 0.500
Pm 0.500 0.000 0.500
Pm 0.500 0.500 0.000
Pr 0.000 0.000 0.500
Pr 0.000 0.500 0.000
Pr 0.500 0.000 0.000
Pr 0.500 0.500 0.500
Y 0.250 0.250 0.250
Y 0.250 0.750 0.750
Y 0.750 0.250 0.750
Y 0.750 0.750 0.250
Tl 0.250 0.250 0.750
Tl 0.250 0.750 0.250
Tl 0.750 0.250 0.250
Tl 0.750 0.750 0.750

Computed properties:
Its space group is F-43m.


What should be chosen as the least stable of them? Choose <ii>.


<i>
Density functional theory data (PBE) for a relaxed PmPrTlZn crystal.

abc: 3.768 3.768 7.741
angles: 90.00 90.00 90.00
Sites, in units of the cell vectors:
Pm 0.000 0.000 0.000
Pr 0.000 0.000 0.545
Tl 0.500 0.500 0.267
Zn 0.500 0.500 0.780

Computed properties:
Its space group is P4mm.


<ii>
Density functional theory data (PBE) for a relaxed PmPrTlZn crystal.

abc: 7.637 7.637 7.637
angles: 90.00 90.00 90.00
Sites, in units of the cell vectors:
Pm 0.000 0.000 0.000
Pm 0.000 0.500 0.500
Pm 0.500 0.000 0.500
Pm 0.500 0.500 0.000
Pr 0.000 0.000 0.500
Pr 0.000 0.500 0.000
Pr 0.500 0.000 0.000
Pr 0.500 0.500 0.500
Tl 0.250 0.250 0.250
Tl 0.250 0.750 0.750
Tl 0.750 0.250 0.750
Tl 0.750 0.750 0.250
Zn 0.250 0.250 0.750
Zn 0.250 0.750 0.250
Zn 0.750 0.250 0.250
Zn 0.750 0.750 0.750

Computed properties:
Its space group is F-43m.


What should be chosen as the least stable of them? Choose <ii>.